# Ho8Pd3Pt2

A relaxed structure of Ho8Pd3Pt2 (GGA-PBE, Alexandria).

calculated total energy	-5.67	eV per atom
formation enthalpy at 0 K	-0.73	eV/atom
volume	26.1	A^3/atom

Lattice parameters (Å, degrees): 14.843 7.277 6.424 90.00 102.34 90.00
Space group C2/m (No. 12)
Symmetry-distinct sites (fractional):
1 Ho 0.077 0.000 0.339 x4
2 Ho 0.131 0.252 0.878 x8
3 Ho 0.170 0.500 0.385 x4
4 Pd 0.000 0.314 0.500 x4
5 Pd 0.000 0.500 0.000 x2
6 Pt 0.233 0.000 0.186 x4



# Ho5Pd2Pt2

A relaxed structure of Ho5Pd2Pt2 (GGA-PBE, Alexandria).

calculated total energy	-6.02	eV per atom
formation enthalpy at 0 K	-0.98	eV/atom
volume	23.4	A^3/atom

Lattice parameters (Å, degrees): 14.665 7.494 7.653 90.00 90.00 90.00
Space group Cmce (No. 64)
Symmetry-distinct sites (fractional):
1 Ho 0.000 0.000 0.000 x4
2 Ho 0.136 0.171 0.333 x16
3 Pd 0.203 0.000 0.000 x8
4 Pt 0.000 0.133 0.633 x8



# HoPd5Pt

A relaxed structure of HoPd5Pt (GGA-PBE, Alexandria).

calculated total energy	-5.51	eV per atom
formation enthalpy at 0 K	-0.28	eV/atom
volume	18.2	A^3/atom

Lattice parameters (Å, degrees): 5.012 5.359 9.483 90.00 90.00 90.00
Space group Imm2 (No. 44)
Symmetry-distinct sites (fractional):
1 Ho 0.000 0.000 0.000 x2
2 Pd 0.000 0.000 0.724 x2
3 Pd 0.000 0.255 0.252 x4
4 Pd 0.249 0.500 0.980 x4
5 Pt 0.000 0.500 0.718 x2



# HoPd4Pt

A relaxed structure of HoPd4Pt (GGA-PBE, Alexandria).

calculated total energy	-5.84	eV per atom
formation enthalpy at 0 K	-0.61	eV/atom
volume	16.8	A^3/atom

Lattice parameters (Å, degrees): 4.955 8.722 4.913 90.00 108.35 90.00
Space group C2/m (No. 12)
Symmetry-distinct sites (fractional):
1 Ho 0.000 0.000 0.000 x2
2 Pd 0.000 0.174 0.500 x4
3 Pd 0.000 0.336 0.000 x4
4 Pt 0.000 0.500 0.500 x2



# Ho2Pd2Pt

A relaxed structure of Ho2Pd2Pt (GGA-PBE, Alexandria).

calculated total energy	-5.95	eV per atom
formation enthalpy at 0 K	-0.83	eV/atom
volume	22.1	A^3/atom

Lattice parameters (Å, degrees): 6.044 12.849 5.697 90.00 90.00 90.00
Space group Ibam (No. 72)
Symmetry-distinct sites (fractional):
1 Ho 0.234 0.159 0.000 x8
2 Pd 0.192 0.382 0.000 x8
3 Pt 0.000 0.000 0.250 x4



# Ho4Pd7Pt

A relaxed structure of Ho4Pd7Pt (GGA-PBE, Alexandria).

calculated total energy	-5.93	eV per atom
formation enthalpy at 0 K	-0.87	eV/atom
volume	19.5	A^3/atom

Lattice parameters (Å, degrees): 5.506 5.591 8.056 86.47 75.84 76.27
Space group P-1 (No. 2)
Symmetry-distinct sites (fractional):
1 Ho 0.062 0.331 0.203 x2
2 Ho 0.400 0.739 0.342 x2
3 Pd 0.029 0.825 0.118 x2
4 Pd 0.153 0.254 0.541 x2
5 Pd 0.402 0.813 0.718 x2
6 Pd 0.500 0.500 0.000 x1
7 Pt 0.500 0.000 0.000 x1



# HoPd5Pt4

A relaxed structure of HoPd5Pt4 (GGA-PBE, Alexandria).

calculated total energy	-5.70	eV per atom
formation enthalpy at 0 K	-0.23	eV/atom
volume	17.6	A^3/atom

Lattice parameters (Å, degrees): 7.992 9.565 4.610 90.00 90.00 90.00
Space group Pmmn (No. 59, origin choice 2)
Symmetry-distinct sites (fractional):
1 Ho 0.250 0.250 0.146 x2
2 Pd 0.080 0.512 0.751 x8
3 Pd 0.250 0.750 0.818 x2
4 Pt 0.003 0.750 0.369 x4
5 Pt 0.250 0.560 0.256 x4



# Ho4PdPt7

A relaxed structure of Ho4PdPt7 (GGA-PBE, Alexandria).

calculated total energy	-6.56	eV per atom
formation enthalpy at 0 K	-1.08	eV/atom
volume	19.6	A^3/atom

Lattice parameters (Å, degrees): 5.543 5.754 7.928 73.27 85.90 76.71
Space group P-1 (No. 2)
Symmetry-distinct sites (fractional):
1 Ho 0.171 0.434 0.286 x2
2 Ho 0.226 0.885 0.853 x2
3 Pd 0.500 0.000 0.500 x1
4 Pt 0.000 0.000 0.500 x1
5 Pt 0.259 0.321 0.952 x2
6 Pt 0.320 0.888 0.231 x2
7 Pt 0.326 0.562 0.613 x2